First-principles (PBE) data for a geometry-optimized HoMnNiRu structure, as listed in Alexandria via LeMat-Bulk.

Values from the calculation:
Its energy of formation is -0.083 eV per atom. The value obtained for the total energy is -116.55 eV per cell.

```
data_HoMnNiRu
_chemical_formula_sum 'Ho4 Mn4 Ni4 Ru4'
_space_group_name_H-M_alt 'F -4 3 m'
_space_group_IT_number 216
_space_group_name_Hall 'F -4 2 3'
_cell_length_a 6.358
_cell_length_b 6.358
_cell_length_c 6.358
_cell_angle_alpha 90.00
_cell_angle_beta 90.00
_cell_angle_gamma 90.00
loop_
_atom_site_label
_atom_site_fract_x
_atom_site_fract_y
_atom_site_fract_z
Ho1 0.000 0.000 0.000
Mn1 0.000 0.000 0.500
Ni1 0.250 0.250 0.750
Ru1 0.250 0.250 0.250
```